Compound: Au2ClO
Source: Alexandria
Functional: GGA-PBE
Structure: optimized geometry

```
Au2ClO
1.0
6.3474 0.0000 0.0000
0.0000 6.3474 0.0000
0.0000 0.0000 6.3474
Au Cl O
8 4 4
Cartesian
1.5868 1.5868 1.5868
1.5868 1.5868 4.7605
1.5868 4.7605 1.5868
1.5868 4.7605 4.7605
4.7605 1.5868 1.5868
4.7605 1.5868 4.7605
4.7605 4.7605 1.5868
4.7605 4.7605 4.7605
0.0000 0.0000 0.0000
0.0000 3.1737 3.1737
3.1737 0.0000 3.1737
3.1737 3.1737 0.0000
0.0000 0.0000 3.1737
0.0000 3.1737 0.0000
3.1737 0.0000 0.0000
3.1737 3.1737 3.1737
```

Summary:
Distance to the lowest polymorph of the same formula   0.495 eV per atom
Formation energy from raw total energies   2.8 eV/f.u.
Theoretical density   11568 kg/m3
Space-group type   Fm-3m, No. 225

Compound: PmZrZn10
Source: Alexandria
Functional: GGA-PBE
Structure: optimized geometry

```
PmZrZn10
1.0
4.1871 0.0000 0.0000
0.0000 5.2948 0.0000
0.0000 0.0000 9.0896
Pm Zr Zn
1 1 10
Cartesian
0.0000 0.0000 0.0000
0.0000 2.6474 4.5448
0.0000 0.0000 3.1244
0.0000 0.0000 5.9652
0.0000 2.6474 1.6216
0.0000 2.6474 7.4680
2.0936 0.0000 4.5448
2.0936 1.3430 2.3353
2.0936 1.3430 6.7544
2.0936 2.6474 0.0000
2.0936 3.9518 2.3353
2.0936 3.9518 6.7544
```

Summary:
ΔH_f (0 K)   -2.5 eV per formula unit
Theoretical density   7336 kg/m3
Space-group type   Pmmm, No. 47